# 1
VASP calculation (PBE) on a geometry-optimized Sc2IrRu structure.

```
8
Lattice="-2.857 -0.410 6.417 3.277 -6.134 1.067 2.497 -1.857 4.850" Properties=species:S:1:pos:R:3 pbc="T T T"
Ir 0.000 0.000 0.000
Ir -0.075 -2.769 7.505
Sc 2.037 -3.859 6.447
Sc 2.234 -7.106 10.185
Sc 2.310 -4.350 2.695
Sc -0.746 -1.486 5.344
Ru 0.210 -3.272 3.742
Ru 2.992 -5.631 4.830
```

Fermi-level density of states   1.02 states/eV/atom
Mass density   8.839 g cm⁻³
Size of the total moment   0.00 μB/atom
E_form   -0.182 eV per atom
Space-group type   I-42d (122)
Total energy   -31.5 eV per formula unit


# 2
VASP calculation (PBE) on a geometry-optimized ScIrRu structure.

```
6
Lattice="-1.259 5.141 0.152 -3.239 -3.275 -2.612 -0.287 -3.719 3.753" Properties=species:S:1:pos:R:3 pbc="T T T"
Ru -3.399 -2.472 -1.711
Ru -1.386 0.619 3.003
Sc -2.548 -3.932 1.675
Sc -2.237 2.079 -0.383
Ir -2.392 -0.926 0.646
Ir -0.143 -1.860 1.876
```

Fermi-level density of states   0.56 states/eV/atom
Mass density   11.733 g cm⁻³
Energy above the most stable polymorph in this dataset   0 meV per atom
Size of the total moment   0.00 μB/atom
E_form   -0.383 eV per atom
Space-group type   Imma (74)
Total energy   -25.6 eV per formula unit


# 3
VASP calculation (PBE) on a geometry-optimized Sc2IrRu structure.

```
4
Lattice="3.521 0.000 0.000 0.000 3.521 0.000 0.000 0.000 5.750" Properties=species:S:1:pos:R:3 pbc="T T T"
Sc 0.000 0.000 5.500
Sc 1.761 1.761 1.706
Ru 1.761 1.761 4.504
Ir 0.000 0.000 2.666
```

Fermi-level density of states   1.08 states/eV/atom
Mass density   8.925 g cm⁻³
Size of the total moment   0.00 μB/atom
E_form   -0.304 eV per atom
Space-group type   P4mm (99)
Total energy   -32.0 eV per formula unit


# 4
VASP calculation (PBE) on a geometry-optimized Sc3IrRu structure.

```
5
Lattice="-4.607 0.135 1.683 -1.687 -0.166 -4.604 -0.070 -4.902 0.203" Properties=species:S:1:pos:R:3 pbc="T T T"
Sc -0.844 -0.083 -2.302
Sc -0.035 -2.451 0.101
Sc -2.303 0.068 0.842
Ir 0.000 0.000 0.000
Ru -3.182 -2.466 -1.359
```

Fermi-level density of states   0.83 states/eV/atom
Mass density   6.019 g cm⁻³
Energy above the most stable polymorph in this dataset   22 meV per atom
Size of the total moment   0.02 μB/atom
E_form   0.173 eV per atom
Space-group type   Pm-3m (221)
Total energy   -36.3 eV per formula unit


Among the records above, which one has the highest total energy? ScIrRu